# 1
Entry from Alexandria: a relaxed HfTh2In crystal (GGA-PBE).

Cell: 4.076 4.076 6.870 Å, 90.00 90.00 90.00°
Element x y z (fractional)
Hf  0.500  0.500  0.500
Th  0.000  0.000  0.752
Th  0.000  0.000  0.248
In  0.500  0.500  0.000

Computed properties:
Distance to the lowest polymorph of the same formula   120 meV per atom
DOS(E_F)   1.53 states/eV/atom
Formation energy   39 meV per atom

***

# 2
Entry from Alexandria: a relaxed PrNd6Er6 crystal (GGA-PBE).

Cell: 6.732 6.732 11.464 Å, 90.00 90.00 120.00°
Element x y z (fractional)
Pr  0.000  0.000  0.000
Nd  0.000  0.000  0.653
Nd  0.000  0.000  0.347
Nd  0.333  0.667  0.000
Nd  0.667  0.333  0.000
Nd  0.333  0.667  0.500
Nd  0.667  0.333  0.500
Er  0.000  0.500  0.753
Er  0.500  0.000  0.753
Er  0.500  0.500  0.753
Er  0.500  0.000  0.247
Er  0.000  0.500  0.247
Er  0.500  0.500  0.247

Computed properties:
DOS(E_F)   2.14 states/eV/atom
Formation energy   247 meV per atom